(1)
The following is a DFT calculation (GGA-PBE) of crystalline CaHfSN2 at its relaxed geometry.

Unit cell a=4.090 b=4.090 c=5.000 alpha=90.00 beta=90.00 gamma=90.00
Positions (direct):
Ca  0.000  0.000  0.000
Hf  0.500  0.500  0.500
S  0.000  0.000  0.500
N  0.000  0.500  0.000
N  0.500  0.000  0.000

- Energy above the lowest structure with this stoichiometry: 1678 meV per atom
- Energy relative to the elements, uncorrected: 0.940 eV per atom
- D(E_F): 2.39 states/eV/cell
- Space group: P4/mmm (123)



(2)
The following is a DFT calculation (GGA-PBE) of crystalline CaHfSe2N at its relaxed geometry.

Unit cell a=5.296 b=5.296 c=4.097 alpha=90.00 beta=90.00 gamma=90.00
Positions (direct):
Ca  0.000  0.000  0.000
Hf  0.500  0.500  0.500
Se  0.000  0.500  0.500
Se  0.500  0.000  0.500
N  0.500  0.500  0.000

- Energy above the lowest structure with this stoichiometry: 0 meV per atom
- Energy relative to the elements, uncorrected: -0.990 eV per atom
- D(E_F): 2.69 states/eV/cell
- Space group: P4/mmm (123)



(3)
The following is a DFT calculation (GGA-PBE) of crystalline CaHfSe2N at its relaxed geometry.

Unit cell a=5.255 b=5.255 c=4.004 alpha=90.00 beta=90.00 gamma=90.00
Positions (direct):
Ca  0.000  0.000  0.000
Hf  0.500  0.500  0.500
Se  0.000  0.500  0.000
Se  0.500  0.000  0.000
N  0.000  0.000  0.500

- Energy above the lowest structure with this stoichiometry: 1548 meV per atom
- Energy relative to the elements, uncorrected: 0.557 eV per atom
- D(E_F): 3.74 states/eV/cell
- Space group: P4/mmm (123)



(4)
The following is a DFT calculation (GGA-PBE) of crystalline CaHfSeN2 at its relaxed geometry.

Unit cell a=4.157 b=4.157 c=5.227 alpha=90.00 beta=90.00 gamma=90.00
Positions (direct):
Ca  0.000  0.000  0.000
Hf  0.500  0.500  0.500
Se  0.000  0.000  0.500
N  0.000  0.500  0.000
N  0.500  0.000  0.000

- Energy above the lowest structure with this stoichiometry: 1667 meV per atom
- Energy relative to the elements, uncorrected: 1.025 eV per atom
- D(E_F): 3.04 states/eV/cell
- Space group: P4/mmm (123)



(5)
The following is a DFT calculation (GGA-PBE) of crystalline CaHfSeN2 at its relaxed geometry.

Unit cell a=4.166 b=4.166 c=5.479 alpha=90.00 beta=90.00 gamma=90.00
Positions (direct):
Ca  0.000  0.000  0.000
Hf  0.500  0.500  0.500
Se  0.500  0.500  0.000
N  0.000  0.500  0.500
N  0.500  0.000  0.500

- Energy above the lowest structure with this stoichiometry: 0 meV per atom
- Energy relative to the elements, uncorrected: -0.642 eV per atom
- D(E_F): 3.86 states/eV/cell
- Space group: P4/mmm (123)



(6)
The following is a DFT calculation (GGA-PBE) of crystalline Ca4Hf3SiN8 at its relaxed geometry.

Unit cell a=6.699 b=6.699 c=6.699 alpha=57.74 beta=57.74 gamma=57.74
Positions (direct):
Ca  0.000  0.000  0.000
Ca  0.000  0.500  0.500
Ca  0.500  0.000  0.500
Ca  0.500  0.500  0.000
Hf  0.000  0.000  0.500
Hf  0.000  0.500  0.000
Hf  0.500  0.000  0.000
Si  0.500  0.500  0.500
N  0.238  0.238  0.238
N  0.250  0.728  0.728
N  0.272  0.272  0.750
N  0.272  0.750  0.272
N  0.728  0.250  0.728
N  0.728  0.728  0.250
N  0.750  0.272  0.272
N  0.762  0.762  0.762

- Energy relative to the elements, uncorrected: -1.294 eV per atom
- D(E_F): 0.10 states/eV/cell
- Space group: R-3m (166)



(7)
The following is a DFT calculation (GGA-PBE) of crystalline Ca3Hf3TaN8 at its relaxed geometry.

Unit cell a=6.775 b=6.775 c=6.775 alpha=57.14 beta=57.14 gamma=57.14
Positions (direct):
Ca  0.000  0.500  0.500
Ca  0.500  0.000  0.500
Ca  0.500  0.500  0.000
Hf  0.000  0.000  0.500
Hf  0.000  0.500  0.000
Hf  0.500  0.000  0.000
Ta  0.500  0.500  0.500
N  0.238  0.238  0.238
N  0.248  0.726  0.726
N  0.274  0.274  0.752
N  0.274  0.752  0.274
N  0.726  0.248  0.726
N  0.726  0.726  0.248
N  0.752  0.274  0.274
N  0.762  0.762  0.762

- Energy relative to the elements, uncorrected: -1.376 eV per atom
- D(E_F): 6.18 states/eV/cell
- Space group: R-3m (166)



(8)
The following is a DFT calculation (GGA-PBE) of crystalline Ca2HfTaN4 at its relaxed geometry.

Unit cell a=5.604 b=3.232 c=5.881 alpha=90.00 beta=108.43 gamma=90.00
Positions (direct):
Ca  0.000  0.000  0.000
Ca  0.500  0.500  0.000
Hf  0.000  0.500  0.500
Ta  0.500  0.000  0.500
N  0.244  0.000  0.711
N  0.269  0.500  0.288
N  0.731  0.500  0.712
N  0.756  0.000  0.289

- Energy relative to the elements, uncorrected: -1.429 eV per atom
- D(E_F): 1.38 states/eV/cell
- Space group: P2/m (10)